Entry 1:
## Li2MgCd (PBE-GGA)

Data for an optimized crystal structure of Li2MgCd.

abc: 7.911 7.708 5.359
angles: 90.00 90.00 90.00
Sites, in units of the cell vectors:
Li: 0.184 0.059 0.104
Li: 0.184 0.441 0.104
Li: 0.316 0.559 0.604
Li: 0.316 0.941 0.604
Li: 0.684 0.059 0.396
Li: 0.684 0.441 0.396
Li: 0.816 0.559 0.896
Li: 0.816 0.941 0.896
Mg: 0.038 0.250 0.603
Mg: 0.462 0.750 0.103
Mg: 0.538 0.250 0.897
Mg: 0.962 0.750 0.397
Cd: 0.107 0.750 0.899
Cd: 0.393 0.250 0.399
Cd: 0.607 0.750 0.601
Cd: 0.893 0.250 0.101

Results
- VASP energy (eV for the cell shown) = -26.3
- crystal system = orthorhombic
- E above lowest polymorph (eV/f.u.) = 0.395

---

Entry 2:
## K2AgO4 (PBE-GGA)

Data for an optimized crystal structure of K2AgO4.

abc: 7.074 7.074 7.074
angles: 119.97 119.97 90.05
Sites, in units of the cell vectors:
K: 0.000 0.000 0.000
K: 0.000 0.000 0.500
K: 0.000 0.500 0.000
K: 0.500 0.000 0.500
Ag: 0.375 0.625 0.750
Ag: 0.625 0.375 0.250
O: 0.264 0.291 0.527
O: 0.264 0.736 0.527
O: 0.264 0.736 0.973
O: 0.291 0.264 0.027
O: 0.709 0.736 0.973
O: 0.736 0.264 0.027
O: 0.736 0.264 0.473
O: 0.736 0.709 0.473

Results
- VASP energy (eV for the cell shown) = -50.2
- crystal system = tetragonal

---

Question: VASP energy of number 1 (Li2MgCd)?
Answer: -26.3 eV for the cell shown

---

Question: Which value of VASP energy does entry 1 give?
Answer: -26.3 eV for the cell shown

---

Question: VASP energy of number 1 (Li2MgCd)?
Answer: -26.3 eV for the cell shown